# 1
{"formula": "BaTe2F", "functional": "PBE-GGA", "state": "optimized geometry", "lattice_angstrom": [[1.958, 1.130, 9.079], [-1.958, 1.130, 9.079], [0.000, -2.260, 9.079]], "species": ["Ba", "Te", "Te", "F"], "frac_coords": [[0.000, 0.000, 0.000], [0.234, 0.234, 0.234], [0.766, 0.766, 0.766], [0.500, 0.500, 0.500]], "relative_energy_ev_per_atom": 1.150, "total_energy_ev_per_atom": -3.02, "sg": "R-3m (166)"}



# 2
{"formula": "CsLaAgF6", "functional": "PBE-GGA", "state": "optimized geometry", "lattice_angstrom": [[-3.987, 4.050, 5.548], [3.987, -4.050, 5.548], [3.987, 4.050, -5.548]], "species": ["Cs", "Cs", "La", "La", "Ag", "Ag", "F", "F", "F", "F", "F", "F", "F", "F", "F", "F", "F", "F"], "frac_coords": [[0.404, 0.154, 0.250], [0.596, 0.846, 0.750], [0.000, 0.000, 0.500], [0.000, 0.500, 0.000], [0.000, 0.500, 0.500], [0.500, 0.500, 0.000], [0.121, 0.371, 0.750], [0.122, 0.872, 0.250], [0.143, 0.436, 0.311], [0.143, 0.832, 0.707], [0.375, 0.168, 0.811], [0.375, 0.564, 0.207], [0.625, 0.436, 0.793], [0.625, 0.832, 0.189], [0.857, 0.168, 0.293], [0.857, 0.564, 0.689], [0.878, 0.128, 0.750], [0.879, 0.629, 0.250]], "total_energy_ev_per_atom": -5.04, "sg": "Imma (74)"}



# 3
{"formula": "Rb2BPdCl6", "functional": "PBE-GGA", "state": "optimized geometry", "lattice_angstrom": [[-3.411, 3.411, 5.534], [3.411, -3.411, 5.534], [3.411, 3.411, -5.534]], "species": ["Rb", "Rb", "B", "Pd", "Cl", "Cl", "Cl", "Cl", "Cl", "Cl"], "frac_coords": [[0.250, 0.750, 0.500], [0.750, 0.250, 0.500], [0.000, 0.000, 0.000], [0.500, 0.500, 0.000], [0.209, 0.209, 0.418], [0.209, 0.791, 0.000], [0.287, 0.287, 0.000], [0.713, 0.713, 0.000], [0.791, 0.209, 0.000], [0.791, 0.791, 0.582]], "total_energy_ev_per_atom": -3.36, "sg": "I4/mmm (139)"}



Number 1: raw formation energy -505 meV per atom. Number 2: raw formation energy -2835 meV per atom. Number 3: raw formation energy -869 meV per atom.